Li3NdCr4O12 | PBE+U | optimized geometry

The space group is Im-3 (No. 204) and the conventional cell measures 7.3490, 7.3490 and 7.3490 Å, with angles of 90.00, 90.00 and 90.00 degrees. Symmetry generates all atoms from Li at (0.0000, 0.0000, 0.5000), Nd at (0.0000, 0.0000, 0.0000), Cr at (0.2500, 0.2500, 0.2500) and O at (0.0000, 0.2950, 0.1850).

The value obtained for the total DFT energy (no corrections) is -135.514 eV per formula unit. The value obtained for the calculated volume is 396.9 Å³/cell. As for the density: 4.728 Mg/m³.